DFT (PBE) results for a relaxed structure of Ca2ScIn.

## Properties
- Calculated density: 3.21 Mg/m³
- SG: R-3m (166)
- Size of the total moment: 1.0 μB per formula unit
- ΔH_f (0 K): -0.01 eV per formula unit
- DOS at the Fermi energy: 5.25 states/eV/cell

The structure in POSCAR format:
```
Ca2ScIn
1.0
11.3953 -0.0043 -0.0025
10.8349 3.5295 -0.0025
10.8349 1.7182 3.0831
In Ca Sc
1 2 1
Direct
0.7500 0.7500 0.7500 In
0.4954 0.4954 0.4954 Ca
0.0046 0.0046 0.0046 Ca
0.2500 0.2500 0.2500 Sc
```